1.
## PmSmAlIn (PBE)

Data for a geometry-optimized PmSmAlIn structure.

The structure in POSCAR format:
```
PmSmAlIn
1.0
3.750 0.000 0.000
0.000 3.750 0.000
0.000 0.000 7.619
Sm In Al Pm
1 1 1 1
Direct
0.500 0.500 0.597
0.000 0.000 0.855
0.000 0.000 0.359
0.500 0.500 0.117
```

Summary:
symmetry	P4mm (99)
uncorrected energy	-4.413	eV/atom
total magnetization	0.000	μB/atom
relative energy among the computed polymorphs	0	kJ/mol of formula units

***

2.
## TmScHgPd (PBE)

Data for a geometry-optimized TmScHgPd structure.

The structure in POSCAR format:
```
TmScHgPd
1.0
-2.264 1.040 2.361
-2.580 -0.917 -2.070
0.008 -6.627 2.925
Hg Sc Tm Pd
1 1 1 1
Direct
0.000 0.000 0.841
0.500 0.500 0.583
0.500 0.500 0.130
0.000 0.000 0.374
```

Summary:
symmetry	P4mm (99)
uncorrected energy	-4.752	eV/atom
total magnetization	0.000	μB/atom
relative energy among the computed polymorphs	0	kJ/mol of formula units

***

> Which value of total magnetization does entry 2 give?

0.000 μB/atom